! ThInRe | the Alexandria database | PBE | optimized geometry; values from VASP
! calculated formation energy	-0.0088	eV/atom
&SYSTEM
  ibrav = 0, nat = 6, ntyp = 3
/
ATOMIC_SPECIES
Th 232.04 Th.upf
In 114.82 In.upf
Re 186.21 Re.upf
CELL_PARAMETERS angstrom
-2.316 2.316 7.032
2.316 -2.316 7.032
2.316 2.316 -7.032
ATOMIC_POSITIONS crystal
Th 0.133 0.133 0.000
Th 0.867 0.867 0.000
In 0.381 0.381 0.000
In 0.619 0.619 0.000
Re 0.000 0.500 0.500
Re 0.500 0.000 0.500